Record 1
! Pr12NdY6 | Alexandria via LeMat-Bulk | GGA-PBE | optimized geometry; values from VASP
&SYSTEM
  ibrav = 0, nat = 19, ntyp = 3
/
ATOMIC_SPECIES
Pr 140.91 Pr.upf
Nd 144.24 Nd.upf
Y 88.91 Y.upf
CELL_PARAMETERS angstrom
-2.401 -8.133 2.285
5.693 -3.444 -5.732
6.256 -0.269 6.158
ATOMIC_POSITIONS angstrom
Pr 3.881 -8.315 1.386
Pr 6.757 -6.359 -0.193
Pr 6.070 -6.055 3.552
Pr 5.667 -3.531 1.325
Pr 2.791 -5.487 2.905
Pr 3.478 -5.791 -0.841
Pr 3.341 -0.928 1.152
Pr 7.835 -8.995 4.225
Pr 9.083 -8.777 0.783
Pr 6.207 -10.918 1.559
Pr 1.713 -2.850 -1.514
Pr 0.465 -3.068 1.929
Nd 0.000 0.000 0.000
Y 5.210 -9.205 -1.632
Y 0.415 -6.630 0.734
Y 5.379 -3.300 -2.200
Y 4.338 -2.641 4.344
Y 9.133 -5.216 1.978
Y 4.169 -8.546 4.912
! * energy of formation from the pure elements: 0.125 eV/atom
! * E above lowest polymorph: 0 meV per atom


Record 2
! CaPmCu10 | Alexandria via LeMat-Bulk | GGA-PBE | optimized geometry; values from VASP
&SYSTEM
  ibrav = 0, nat = 12, ntyp = 3
/
ATOMIC_SPECIES
Ca 40.08 Ca.upf
Pm 145.00 Pm.upf
Cu 63.55 Cu.upf
CELL_PARAMETERS angstrom
-1.937 2.669 2.373
-4.502 -1.577 -1.900
-0.563 -6.077 6.375
ATOMIC_POSITIONS angstrom
Ca -2.532 -3.827 2.237
Pm 0.000 0.000 0.000
Cu -0.188 -2.034 2.134
Cu -2.720 -5.848 4.358
Cu -2.345 -1.806 0.117
Cu -0.374 -4.042 4.241
Cu -1.250 -1.704 4.374
Cu -3.220 0.546 0.236
Cu -2.227 -0.568 2.300
Cu -4.775 -4.416 4.549
Cu -4.492 -1.361 1.343
Cu -2.510 -3.623 5.505
! * energy of formation from the pure elements: -0.148 eV/atom


Record 3
! PmIn2GaBr6 | Alexandria via LeMat-Bulk | GGA-PBE | optimized geometry; values from VASP
&SYSTEM
  ibrav = 0, nat = 10, ntyp = 4
/
ATOMIC_SPECIES
Pm 145.00 Pm.upf
In 114.82 In.upf
Ga 69.72 Ga.upf
Br 79.90 Br.upf
CELL_PARAMETERS angstrom
-7.263 -3.456 0.535
-0.722 -7.409 3.093
-3.485 -0.921 7.488
ATOMIC_POSITIONS angstrom
Pm -2.691 -3.525 1.434
In -5.668 -6.114 5.044
In -3.432 -1.094 7.085
Ga -8.444 -9.359 7.127
Br -5.223 -3.596 2.780
Br -2.930 -8.154 5.041
Br -8.445 -7.922 4.219
Br -6.432 -7.229 8.070
Br -7.628 -3.846 6.459
Br -3.811 -4.426 7.208
! * raw formation energy: -1122 meV per atom


Record 4
! Ca3SnHg2 | Alexandria via LeMat-Bulk | GGA-PBE | optimized geometry; values from VASP
&SYSTEM
  ibrav = 0, nat = 6, ntyp = 3
/
ATOMIC_SPECIES
Ca 40.08 Ca.upf
Sn 118.71 Sn.upf
Hg 200.59 Hg.upf
CELL_PARAMETERS angstrom
-2.481 -2.541 -1.199
4.030 -2.900 -2.194
-1.172 -2.676 8.099
ATOMIC_POSITIONS angstrom
Ca 0.775 -2.720 -1.696
Ca 1.334 -5.459 2.951
Ca -0.957 -2.658 1.755
Sn 0.000 0.000 0.000
Hg 0.561 -2.746 4.660
Hg 2.297 -2.830 1.245
! * energy of formation from the pure elements: -0.598 eV/atom


Record 5
! Pm4Dy8Sc | Alexandria via LeMat-Bulk | GGA-PBE | optimized geometry; values from VASP
&SYSTEM
  ibrav = 0, nat = 13, ntyp = 3
/
ATOMIC_SPECIES
Pm 145.00 Pm.upf
Dy 162.50 Dy.upf
Sc 44.96 Sc.upf
CELL_PARAMETERS angstrom
-0.909 -5.416 5.456
3.797 -5.084 -4.435
6.680 2.175 3.252
ATOMIC_POSITIONS angstrom
Pm 2.885 -1.621 4.354
Pm 5.238 -1.455 -0.592
Pm 1.444 -5.250 0.510
Pm 0.000 0.000 0.000
Dy 4.269 -4.632 -1.253
Dy 3.813 -7.434 1.564
Dy 5.299 -3.694 5.525
Dy 7.724 -3.522 0.429
Dy 7.251 -6.310 3.238
Dy 2.316 -2.016 1.034
Dy 1.844 -4.803 3.844
Dy 5.755 -0.891 2.708
Sc 4.784 -4.163 2.136
! * energy of formation from the pure elements: 0.525 eV/atom


Record 6
! Mg3Cd2Ag4Hg2 | Alexandria via LeMat-Bulk | GGA-PBE | optimized geometry; values from VASP
&SYSTEM
  ibrav = 0, nat = 11, ntyp = 4
/
ATOMIC_SPECIES
Mg 24.30 Mg.upf
Cd 112.41 Cd.upf
Ag 107.87 Ag.upf
Hg 200.59 Hg.upf
CELL_PARAMETERS angstrom
-2.802 -2.934 -2.447
4.226 -1.492 1.537
-4.857 -3.593 9.869
ATOMIC_POSITIONS angstrom
Mg -3.477 -2.572 7.065
Mg 0.000 0.000 0.000
Mg -1.380 -1.021 2.805
Cd -2.558 -4.006 3.145
Cd -0.875 -4.013 5.814
Ag -1.351 -3.113 0.693
Ag -2.082 -4.906 8.266
Ag -3.729 -4.872 5.523
Ag 0.295 -3.148 3.436
Hg -4.917 -5.751 7.939
Hg 1.484 -2.268 1.020
! * energy of formation from the pure elements: -0.107 eV/atom


Record 7
! LaVMo2 | Alexandria via LeMat-Bulk | GGA-PBE | optimized geometry; values from VASP
&SYSTEM
  ibrav = 0, nat = 8, ntyp = 3
/
ATOMIC_SPECIES
Mo 95.94 Mo.upf
V 50.94 V.upf
La 138.91 La.upf
CELL_PARAMETERS angstrom
-1.217 3.135 2.982
-3.262 -2.212 4.331
4.874 -2.299 4.671
ATOMIC_POSITIONS angstrom
Mo -0.052 -1.959 5.865
Mo -0.687 1.977 4.905
Mo -0.769 -0.419 4.027
Mo 1.942 -1.678 7.608
V -0.051 0.470 6.766
V 2.941 -2.710 5.767
La 2.258 0.349 4.685
La -3.168 -0.067 6.283
! * energy of formation from the pure elements: 0.404 eV/atom
! * E above lowest polymorph: 72 meV per atom


Record 8
! Li2LaTbGe2 | Alexandria via LeMat-Bulk | GGA-PBE | optimized geometry; values from VASP
&SYSTEM
  ibrav = 0, nat = 6, ntyp = 4
/
ATOMIC_SPECIES
Li 6.94 Li.upf
La 138.91 La.upf
Tb 158.93 Tb.upf
Ge 72.64 Ge.upf
CELL_PARAMETERS angstrom
-1.660 2.670 -3.209
-2.724 -2.784 2.238
-1.275 5.366 5.123
ATOMIC_POSITIONS angstrom
Li -3.275 2.846 4.062
Li -2.384 2.405 0.090
La 0.000 0.000 0.000
Tb -0.637 2.683 2.562
Ge -2.709 0.462 1.786
Ge -2.950 4.789 2.366
! * energy of formation from the pure elements: -0.683 eV/atom